# 1
TiSi: optimized geometry, PBE.

For the uncorrected formation energy, the calculation gives -0.2360 eV per atom. As for the energy: -6.895 eV per atom. Its space group is No. 87. The density of states at the Fermi level comes out at 11.2 states/eV/cell.

Structure (POSCAR):
```
TiSi
1.0
-5.6643 -4.2908 -0.6885
4.2711 -5.7054 0.4186
-0.5770 -0.0574 5.1048
Ti Si
8 8
Cartesian
-1.4193 -1.6400 -0.1789 Ti
0.0262 -8.3562 -0.0910 Ti
-4.0327 -5.7212 -0.5201 Ti
2.6395 -4.2750 0.2503 Ti
-2.4044 -6.6668 2.2386 Ti
0.4343 -3.3868 2.5963 Ti
0.6465 -6.4572 2.5858 Ti
-2.6166 -3.5964 2.2491 Ti
0.7358 -5.9559 0.0162 Si
-2.1290 -4.0403 -0.2861 Si
0.2534 -3.5579 -0.0114 Si
-1.6465 -6.4383 -0.2585 Si
-4.5204 -5.2773 2.0150 Si
2.5502 -4.7763 2.8199 Si
-0.7317 -8.5847 2.4061 Si
-1.2384 -1.4689 2.4288 Si
```

***

# 2
TiSi: optimized geometry, PBE.

For the uncorrected formation energy, the calculation gives -0.0366 eV per atom. As for the energy: -6.696 eV per atom. Its space group is No. 140. The density of states at the Fermi level comes out at 5.3 states/eV/cell.

Structure (POSCAR):
```
TiSi
1.0
8.6363 0.0000 0.0000
0.0000 8.6363 0.0000
0.0000 0.0000 4.9491
Ti Si
8 8
Cartesian
3.1163 7.4344 0.0000 Ti
3.1163 1.2019 2.4746 Ti
5.5201 7.4344 2.4746 Ti
5.5201 1.2019 0.0000 Ti
1.2019 5.5201 2.4746 Ti
1.2019 3.1163 0.0000 Ti
7.4344 5.5201 0.0000 Ti
7.4344 3.1163 2.4746 Ti
7.3025 2.9843 0.0000 Si
7.3025 5.6521 2.4746 Si
1.3339 2.9843 2.4746 Si
1.3339 5.6521 0.0000 Si
5.6521 1.3339 2.4746 Si
5.6521 7.3025 0.0000 Si
2.9843 1.3339 0.0000 Si
2.9843 7.3025 2.4746 Si
```

***

# 3
TiSi: optimized geometry, PBE.

For the uncorrected formation energy, the calculation gives -0.4807 eV per atom. As for the energy: -7.140 eV per atom. Its space group is No. 31. The density of states at the Fermi level comes out at 4.9 states/eV/cell.

Structure (POSCAR):
```
TiSi
1.0
13.8918 0.0000 0.0000
0.0000 2.7142 0.0000
0.0000 0.0000 4.6603
Ti Si
6 6
Cartesian
11.3963 0.2633 1.4794 Ti
9.4414 2.4508 3.8095 Ti
2.4955 0.2633 1.4794 Ti
4.4504 2.4508 3.8095 Ti
0.0000 2.5939 2.8369 Ti
6.9459 0.1203 0.5068 Ti
11.7797 1.3769 3.8036 Si
9.0580 1.3373 1.4735 Si
2.1121 1.3769 3.8036 Si
4.8338 1.3373 1.4735 Si
0.0000 1.3137 0.5872 Si
6.9459 1.4005 2.9174 Si
```

***

# 4
TiSi: optimized geometry, PBE.

For the uncorrected formation energy, the calculation gives -0.0663 eV per atom. As for the energy: -6.725 eV per atom. Its space group is No. 194. The density of states at the Fermi level comes out at 1.1 states/eV/cell.

Structure (POSCAR):
```
TiSi
1.0
-2.4617 -3.6296 0.0821
1.5480 1.5143 -3.8146
4.0759 -2.7517 0.5617
Ti Si
2 2
Cartesian
1.2304 -0.8882 -2.3753 Ti
1.9318 -3.9787 -0.7955 Ti
3.2684 -2.2641 -2.0945 Si
-0.1062 -2.6029 -1.0764 Si
```

***

# 5
TiSi: optimized geometry, PBE.

For the uncorrected formation energy, the calculation gives -0.4003 eV per atom. As for the energy: -7.059 eV per atom. Its space group is No. 71. The density of states at the Fermi level comes out at 2.0 states/eV/cell.

Structure (POSCAR):
```
TiSi
1.0
-1.8389 -2.0658 0.5566
0.7307 -1.9124 -4.6839
3.2640 -2.4939 1.5275
Ti Si
2 2
Cartesian
-0.5541 -1.9891 -2.0637 Ti
1.6320 -1.2470 0.7637 Ti
1.9974 -2.2032 -1.5782 Si
-0.9194 -1.0329 0.2783 Si
```

***

# 6
TiSi: optimized geometry, PBE.

For the uncorrected formation energy, the calculation gives -0.5864 eV per atom. As for the energy: -7.245 eV per atom. Its space group is No. 57. The density of states at the Fermi level comes out at 13.3 states/eV/cell.

Structure (POSCAR):
```
TiSi
1.0
4.9238 0.0000 0.0000
0.0000 4.9374 0.0000
0.0000 0.0000 9.5903
Ti Si
8 8
Cartesian
3.6928 0.6873 4.6775 Ti
1.2309 4.2501 4.9129 Ti
1.2309 0.6873 0.1177 Ti
3.6928 4.2501 9.4726 Ti
3.6928 1.8645 1.7130 Ti
1.2309 3.0729 7.8773 Ti
1.2309 1.8645 3.0822 Ti
3.6928 3.0729 6.5082 Ti
3.6928 3.1093 4.0123 Si
1.2309 1.8281 5.5780 Si
1.2309 3.1093 0.7828 Si
3.6928 1.8281 8.8075 Si
2.4619 4.5875 2.3976 Si
0.0000 0.3499 7.1928 Si
2.4619 0.3499 7.1928 Si
0.0000 4.5875 2.3976 Si
```

***

# 7
Ti5Si4: optimized geometry, PBE.

For the uncorrected formation energy, the calculation gives -0.7911 eV per atom. As for the energy: -7.587 eV per atom. Its space group is No. 92. The density of states at the Fermi level comes out at 26.6 states/eV/cell.

Structure (POSCAR):
```
Ti5Si4
1.0
6.7023 0.0000 0.0000
0.0000 6.7023 0.0000
0.0000 0.0000 12.1801
Ti Si
20 16
Cartesian
6.6743 1.0014 7.5758 Ti
2.3497 3.3231 10.6208 Ti
4.3526 3.3791 4.5307 Ti
3.3231 2.3497 1.5593 Ti
3.3791 4.3526 7.6494 Ti
0.0280 5.7008 1.4857 Ti
1.0014 6.6743 4.6044 Ti
5.7008 0.0280 10.6944 Ti
0.0177 2.3116 2.6580 Ti
1.0395 3.3688 5.7030 Ti
5.6628 3.3334 11.7931 Ti
3.3688 1.0395 6.4771 Ti
3.3334 5.6628 0.3870 Ti
6.6846 4.3906 8.7481 Ti
2.3116 0.0177 9.5221 Ti
4.3906 6.6846 3.4321 Ti
1.1450 1.1450 0.0000 Ti
2.2061 4.4961 3.0450 Ti
4.4961 2.2061 9.1351 Ti
5.5573 5.5573 6.0901 Ti
0.2953 2.0211 9.9081 Si
1.3301 3.6465 0.7730 Si
5.3722 3.0558 6.8631 Si
3.6465 1.3301 11.4071 Si
3.0558 5.3722 5.3170 Si
6.4069 4.6812 3.8181 Si
2.0211 0.2953 2.2720 Si
4.6812 6.4069 8.3620 Si
1.9747 2.3958 8.1920 Si
0.9553 5.3258 11.2370 Si
5.7470 1.3765 5.1469 Si
5.3258 0.9553 0.9431 Si
1.3765 5.7470 7.0332 Si
4.7276 4.3064 2.1019 Si
2.3958 1.9747 3.9882 Si
4.3064 4.7276 10.0782 Si
```

***

# 8
TiSi2: optimized geometry, PBE.

For the uncorrected formation energy, the calculation gives -0.5634 eV per atom. As for the energy: -6.810 eV per atom. Its space group is No. 63. The density of states at the Fermi level comes out at 1.2 states/eV/cell.

Structure (POSCAR):
```
TiSi2
1.0
3.5786 0.0000 0.0000
0.0000 3.5457 0.0005
0.0000 -1.7720 6.7588
Si Ti
4 2
Cartesian
0.8946 1.7731 0.8022 Si
2.6839 0.0005 5.9571 Si
2.6839 1.7731 3.3856 Si
0.8946 0.0006 3.3736 Si
2.6839 0.0006 1.3921 Ti
0.8946 1.7730 5.3672 Ti
```

***

# 9
TiSi: optimized geometry, PBE.

For the uncorrected formation energy, the calculation gives -0.7711 eV per atom. As for the energy: -7.430 eV per atom. Its space group is No. 62. The density of states at the Fermi level comes out at 1.9 states/eV/cell.

Structure (POSCAR):
```
TiSi
1.0
-3.0427 1.4680 1.3422
0.2232 -3.1174 3.9155
3.5640 4.3826 3.2862
Ti Si
4 4
Cartesian
1.7299 2.1681 4.0117 Ti
-0.9854 0.5651 4.5322 Ti
0.8510 1.9962 7.1300 Ti
-0.1065 0.7370 1.4138 Ti
1.3712 0.0912 5.4701 Si
-0.6267 2.6420 3.0738 Si
1.2018 4.1836 5.5329 Si
-0.4573 -1.4505 3.0110 Si
```

***

# 10
TiSi: optimized geometry, PBE.

For the uncorrected formation energy, the calculation gives -0.4446 eV per atom. As for the energy: -7.104 eV per atom. Its space group is No. 225. The density of states at the Fermi level comes out at 2.2 states/eV/cell.

Structure (POSCAR):
```
TiSi
1.0
5.0856 0.0000 0.0000
0.0000 5.0856 0.0000
0.0000 0.0000 5.0856
Ti Si
4 4
Cartesian
2.5428 2.5428 2.5428 Ti
2.5428 0.0000 0.0000 Ti
0.0000 2.5428 0.0000 Ti
0.0000 0.0000 2.5428 Ti
0.0000 0.0000 0.0000 Si
0.0000 2.5428 2.5428 Si
2.5428 0.0000 2.5428 Si
2.5428 2.5428 0.0000 Si
```

***

# 11
Ti8Si: optimized geometry, PBE.

For the uncorrected formation energy, the calculation gives -0.1724 eV per atom. As for the energy: -7.793 eV per atom. Its space group is No. 139. The density of states at the Fermi level comes out at 10.9 states/eV/cell.

Structure (POSCAR):
```
Ti8Si
1.0
3.9508 0.0000 0.0000
1.9754 6.1213 0.0000
1.9754 0.0000 6.1213
Ti Si
8 1
Cartesian
1.9754 0.0000 1.9612 Ti
3.9508 0.0000 4.1601 Ti
3.9508 2.0148 2.0148 Ti
1.9754 1.9612 0.0000 Ti
1.9754 2.0148 4.1064 Ti
3.9508 4.1601 0.0000 Ti
3.9508 4.1064 4.1064 Ti
1.9754 4.1064 2.0148 Ti
0.0000 0.0000 0.0000 Si
```

***

# 12
Ti4Si23: optimized geometry, PBE.

For the uncorrected formation energy, the calculation gives 0.3789 eV per atom. As for the energy: -5.410 eV per atom. Its space group is No. 223. The density of states at the Fermi level comes out at 42.2 states/eV/cell.

Structure (POSCAR):
```
Ti4Si23
1.0
-7.7441 4.0099 5.0189
-4.6401 -8.9280 -0.0264
4.4428 -2.3348 8.7206
Ti Si
8 46
Cartesian
0.0000 0.0000 0.0000 Ti
-3.9707 -3.6264 6.8566 Ti
-4.2561 -3.4615 1.2415 Ti
-8.1281 -1.4565 3.7509 Ti
-2.7613 1.4213 4.6896 Ti
-0.5400 0.2538 9.0499 Ti
1.0614 -3.3994 4.3537 Ti
-1.2587 -7.8634 4.3405 Ti
0.2854 -0.1649 5.6150 Si
-3.5867 1.8400 8.1245 Si
-1.2093 -5.0477 2.1670 Si
1.0120 -6.2151 6.5273 Si
-5.0321 -0.2270 2.5028 Si
-7.3521 -4.6910 2.4896 Si
-5.4226 -4.9525 9.3637 Si
-5.3505 -0.8341 6.1846 Si
-4.2155 -5.5650 4.3397 Si
-0.8942 -3.1541 7.5382 Si
-6.4894 -5.9268 11.2059 Si
-6.3643 1.2176 5.6908 Si
-4.3953 -6.9894 2.4904 Si
1.3663 -2.8071 8.0390 Si
-2.5188 -2.3004 4.3494 Si
-2.5909 -6.4188 7.5285 Si
-3.7259 -1.6878 9.3734 Si
-7.0472 -4.0987 6.1749 Si
-1.4519 -1.3261 2.5072 Si
-1.5771 -8.4704 8.0223 Si
-3.5461 -0.2635 11.2227 Si
-9.3077 -4.4457 5.6741 Si
0.7288 -8.2223 7.6940 Si
-0.9261 -3.0405 1.0002 Si
-2.6864 -6.4275 0.9902 Si
2.4891 -4.8353 7.7040 Si
-9.4445 -5.1299 3.4381 Si
-5.8776 1.7332 3.4584 Si
-6.5066 -6.6512 1.5341 Si
-2.9397 0.2119 1.5544 Si
-3.7844 1.9359 10.4530 Si
-5.4699 2.8217 7.1446 Si
0.4831 -0.2608 3.2865 Si
2.1686 -1.1466 6.5949 Si
-5.8600 -2.6521 9.4224 Si
-6.8875 -2.1121 7.4055 Si
-2.0813 -4.6008 4.2907 Si
-1.0538 -5.1408 6.3076 Si
-3.1286 -5.3834 9.5596 Si
-4.8128 -1.8695 4.1535 Si
-5.8859 -3.9343 4.1474 Si
-2.0555 -3.3185 9.5657 Si
-6.3061 -5.9332 7.4287 Si
-3.4263 -0.3922 7.4451 Si
-4.5151 -6.8606 6.2680 Si
-1.6353 -1.3197 6.2844 Si
```